<one>
{
  "formula": "NdThZn",
  "functional": "PBE-GGA",
  "state": "relaxed",
  "magmom_total_mub_per_cell": 0.00,
  "volume_a3_per_atom": 27.35,
  "lattice": [[5.054, 0.000, 0.000], [-2.527, 4.377, 0.000], [0.000, 0.000, 3.710]],
  "species": ["Nd", "Th", "Zn"],
  "frac_coords": [[0.000, 0.000, 0.000], [0.333, 0.667, 0.586], [0.667, 0.333, 0.291]]
}

<two>
{
  "formula": "NdThZn",
  "functional": "PBE-GGA",
  "state": "relaxed",
  "magmom_total_mub_per_cell": 0.00,
  "volume_a3_per_atom": 28.27,
  "lattice": [[1.824, -8.532, 0.000], [1.824, 8.532, 0.000], [0.000, 0.000, 5.449]],
  "species": ["Nd", "Nd", "Th", "Th", "Zn", "Zn"],
  "frac_coords": [[0.078, 0.922, 0.750], [0.922, 0.078, 0.250], [0.224, 0.776, 0.250], [0.776, 0.224, 0.750], [0.430, 0.570, 0.750], [0.570, 0.430, 0.250]]
}

Which of them is most stable? Easy: <two>.

<one>
{
  "formula": "NdTh2Zn",
  "functional": "PBE-GGA",
  "state": "relaxed",
  "magmom_total_mub_per_cell": 0.00,
  "volume_a3_per_atom": 29.46,
  "lattice": [[3.675, 0.000, 0.000], [0.000, 3.675, 0.000], [0.000, 0.000, 8.724]],
  "species": ["Nd", "Th", "Th", "Zn"],
  "frac_coords": [[0.000, 0.000, 0.000], [0.500, 0.500, 0.296], [0.500, 0.500, 0.704], [0.000, 0.000, 0.500]]
}

<two>
{
  "formula": "NdTh2Zn",
  "functional": "PBE-GGA",
  "state": "relaxed",
  "magmom_total_mub_per_cell": 0.00,
  "volume_a3_per_atom": 29.98,
  "lattice": [[1.714, 0.990, 11.781], [-1.714, 0.990, 11.781], [0.000, -1.979, 11.781]],
  "species": ["Nd", "Th", "Th", "Zn"],
  "frac_coords": [[0.000, 0.000, 0.000], [0.097, 0.097, 0.097], [0.903, 0.903, 0.903], [0.500, 0.500, 0.500]]
}

Which of them is most stable? Easy: <one>.

<one>
{
  "formula": "NdThZr2",
  "functional": "PBE-GGA",
  "state": "relaxed",
  "magmom_total_mub_per_cell": 0.00,
  "volume_a3_per_atom": 28.41,
  "lattice": [[3.990, 0.000, 0.000], [0.000, 3.990, 0.000], [0.000, 0.000, 7.138]],
  "species": ["Nd", "Th", "Zr", "Zr"],
  "frac_coords": [[0.000, 0.000, 0.000], [0.000, 0.000, 0.500], [0.500, 0.500, 0.286], [0.500, 0.500, 0.714]]
}

<two>
{
  "formula": "NdThZr2",
  "functional": "PBE-GGA",
  "state": "relaxed",
  "magmom_total_mub_per_cell": 0.00,
  "volume_a3_per_atom": 27.79,
  "lattice": [[4.795, 0.000, 0.000], [0.000, 4.795, 0.000], [0.000, 0.000, 4.834]],
  "species": ["Nd", "Th", "Zr", "Zr"],
  "frac_coords": [[0.000, 0.000, 0.000], [0.500, 0.500, 0.000], [0.000, 0.500, 0.500], [0.500, 0.000, 0.500]]
}

Which of them is most stable? Easy: <one>.